Computed, not measured: SrYBr2 after structural relaxation at the PBE level of DFT.

Calculated values
V: 134.7 Å³ per cell
Raw total energy: -3.84 eV/atom
Space group: No. 123
Formation energy (no corrections): -0.964 eV per atom

```
SrYBr2
1.0
3.637 0.000 0.000
0.000 3.637 0.000
0.000 0.000 10.186
Y Sr Br
1 1 2
Direct
0.500 0.500 0.750
0.500 0.500 0.250
0.000 0.000 0.916
0.000 0.000 0.584
```